VASP calculation (PBE-GGA) on crystalline Rb2UCdS6 at its relaxed geometry. Values from VASP.

Summary:
- Final energy: -4.7304 eV per atom
- V: 28.2 Å³/atom

Cell and atoms, written as Quantum ESPRESSO input:
```
&SYSTEM
  ibrav = 0, nat = 10, ntyp = 4
/
ATOMIC_SPECIES
Rb 85.47 Rb.upf
U 238.03 U.upf
Cd 112.41 Cd.upf
S 32.06 S.upf
CELL_PARAMETERS angstrom
3.6813 2.1254 6.0074
-3.6813 2.1254 6.0074
0.0000 -4.2508 6.0074
ATOMIC_POSITIONS crystal
Rb 0.2500 0.2500 0.2500
Rb 0.7500 0.7500 0.7500
U 0.0000 0.0000 0.0000
Cd 0.5000 0.5000 0.5000
S 0.2420 0.2430 0.7575
S 0.2425 0.7580 0.7570
S 0.2430 0.7575 0.2420
S 0.7570 0.2425 0.7580
S 0.7575 0.2420 0.2430
S 0.7580 0.7570 0.2425
```

VASP calculation (PBE-GGA) on crystalline TaCuRu3 at its relaxed geometry. Values from VASP.

Summary:
- Calculated formation energy: 1.303 eV/atom
- Final energy: -7.4519 eV per atom
- V: 16.8 Å³/atom
- Energy above the most stable polymorph in this dataset: 0 meV/atom

Cell and atoms, written as Quantum ESPRESSO input:
```
&SYSTEM
  ibrav = 0, nat = 5, ntyp = 3
/
ATOMIC_SPECIES
Ta 180.95 Ta.upf
Cu 63.55 Cu.upf
Ru 101.07 Ru.upf
CELL_PARAMETERS angstrom
4.3766 0.0000 0.0000
0.0000 4.3766 0.0000
0.0000 0.0000 4.3766
ATOMIC_POSITIONS crystal
Ta 0.0000 0.0000 0.0000
Cu 0.5000 0.5000 0.5000
Ru 0.0000 0.5000 0.5000
Ru 0.5000 0.0000 0.5000
Ru 0.5000 0.5000 0.0000
```

VASP calculation (PBE-GGA) on crystalline BeAg2Hg at its relaxed geometry. Values from VASP.

Summary:
- Calculated formation energy: 0.212 eV/atom
- Final energy: -2.2209 eV per atom
- V: 16.7 Å³/atom
- Energy above the most stable polymorph in this dataset: 60 meV/atom

Cell and atoms, written as Quantum ESPRESSO input:
```
&SYSTEM
  ibrav = 0, nat = 4, ntyp = 3
/
ATOMIC_SPECIES
Be 9.01 Be.upf
Ag 107.87 Ag.upf
Hg 200.59 Hg.upf
CELL_PARAMETERS angstrom
5.1825 -1.5310 0.0000
5.1825 1.5310 0.0000
-1.9299 0.0000 4.2184
ATOMIC_POSITIONS crystal
Be 0.0000 0.0000 0.0000
Ag 0.4986 0.4986 0.4883
Ag 0.7015 0.7015 0.1912
Hg 0.2898 0.2898 0.7758
```

VASP calculation (PBE-GGA) on crystalline Nb4Pd3Pt4 at its relaxed geometry. Values from VASP.

Summary:
- Calculated formation energy: -0.225 eV/atom
- Final energy: -7.5000 eV per atom
- V: 17.1 Å³/atom

Cell and atoms, written as Quantum ESPRESSO input:
```
&SYSTEM
  ibrav = 0, nat = 11, ntyp = 3
/
ATOMIC_SPECIES
Nb 92.91 Nb.upf
Pd 106.42 Pd.upf
Pt 195.08 Pt.upf
CELL_PARAMETERS angstrom
-1.4285 4.1154 8.0192
1.4285 -4.1154 8.0192
1.4285 4.1154 -8.0192
ATOMIC_POSITIONS crystal
Nb 0.0476 0.8413 0.2063
Nb 0.3650 0.1587 0.2063
Nb 0.6350 0.8413 0.7937
Nb 0.9524 0.1587 0.7937
Pd 0.0000 0.5000 0.5000
Pd 0.4026 0.4026 0.0000
Pd 0.5974 0.5974 0.0000
Pt 0.2550 0.7550 0.5000
Pt 0.2854 0.0000 0.2854
Pt 0.7146 0.0000 0.7146
Pt 0.7450 0.2450 0.5000
```

VASP calculation (PBE-GGA) on crystalline CaEr4Rh5 at its relaxed geometry. Values from VASP.

Summary:
- Calculated formation energy: -0.837 eV/atom
- Final energy: -6.5382 eV per atom
- V: 19.7 Å³/atom

Cell and atoms, written as Quantum ESPRESSO input:
```
&SYSTEM
  ibrav = 0, nat = 10, ntyp = 3
/
ATOMIC_SPECIES
Ca 40.08 Ca.upf
Er 167.26 Er.upf
Rh 102.91 Rh.upf
CELL_PARAMETERS angstrom
3.4009 0.0000 0.0000
0.0000 3.4009 0.0000
0.0000 0.0000 17.0215
ATOMIC_POSITIONS crystal
Ca 0.0000 0.0000 0.0000
Er 0.0000 0.0000 0.2015
Er 0.0000 0.0000 0.4005
Er 0.0000 0.0000 0.5995
Er 0.0000 0.0000 0.7985
Rh 0.5000 0.5000 0.1107
Rh 0.5000 0.5000 0.3034
Rh 0.5000 0.5000 0.5000
Rh 0.5000 0.5000 0.6966
Rh 0.5000 0.5000 0.8893
```

VASP calculation (PBE-GGA) on crystalline Zr2TlV at its relaxed geometry. Values from VASP.

Summary:
- Calculated formation energy: 0.194 eV/atom
- Final energy: -6.9518 eV per atom
- V: 21.6 Å³/atom
- Energy above the most stable polymorph in this dataset: 156 meV/atom

Cell and atoms, written as Quantum ESPRESSO input:
```
&SYSTEM
  ibrav = 0, nat = 4, ntyp = 3
/
ATOMIC_SPECIES
Zr 91.22 Zr.upf
Tl 204.38 Tl.upf
V 50.94 V.upf
CELL_PARAMETERS angstrom
1.6264 0.9390 9.4345
-1.6264 0.9390 9.4345
0.0000 -1.8780 9.4345
ATOMIC_POSITIONS crystal
Zr 0.2414 0.2414 0.2414
Zr 0.7586 0.7586 0.7586
Tl 0.0000 0.0000 0.0000
V 0.5000 0.5000 0.5000
```

| no. | total magnetic moment (μB per formula unit) |
| --- | --- |
| 1 | 0.00 |
| 2 | 0.00 |
| 3 | 0.00 |
| 4 | 0.00 |
| 5 | 0.00 |
| 6 | 1.19 |